A plane-wave DFT calculation with PBE+U was carried out for a relaxed structure of Li4Ni3Sn2Sb3O16.

Lattice parameters (Å, degrees): 6.166 6.166 9.904 90.27 90.27 60.32
Element x y z (fractional)
Li 0.000 0.000 0.000
Li 0.009 0.009 0.519
Li 0.342 0.342 0.425
Li 0.679 0.679 0.902
Ni 0.190 0.679 0.729
Ni 0.679 0.190 0.729
Ni 0.846 0.846 0.232
Sn 0.362 0.362 0.994
Sn 0.695 0.695 0.520
Sb 0.189 0.189 0.731
Sb 0.354 0.848 0.232
Sb 0.848 0.354 0.232
O 0.017 0.017 0.332
O 0.024 0.024 0.820
O 0.049 0.490 0.859
O 0.179 0.179 0.120
O 0.182 0.696 0.117
O 0.342 0.866 0.612
O 0.343 0.343 0.623
O 0.490 0.049 0.859
O 0.502 0.502 0.857
O 0.528 0.976 0.357
O 0.530 0.530 0.355
O 0.679 0.679 0.122
O 0.696 0.182 0.117
O 0.859 0.859 0.614
O 0.866 0.342 0.612
O 0.976 0.528 0.357

Calculated values
Its symmetry is Cm. Its crystal system is monoclinic. The calculated total energy comes out at -0.415 Ry/atom. The value obtained for the density of states at the Fermi level is 0.04 states/eV per atom.